1.
Below is a relaxed structure of Nd6Ho4Sc, with properties calculated at the GGA-PBE level.

Summary:
The calculation puts the density of states at the Fermi level at 36.9 states/eV per cell. The formation energy comes out at 0.13 eV per atom. As for the excess energy over the best structure of this formula in the dataset: 0 meV per atom.

a = 5.8082 Å, b = 5.6307 Å, c = 25.8284 Å
α = 90.00°, β = 90.00°, γ = 121.05°
Last column: nearest neighbours and their distance in Å.
Sites, in units of the cell vectors:
1 Nd 0.5000 0.0000 0.0000  8 Ho 3.22-3.56
2 Nd 0.5000 0.0000 0.5000  8 Ho 3.22-3.56
3 Nd 0.1266 0.2531 0.3168  5 Nd 3.45-3.76, 4 Ho 3.56-3.66, 3 Sc 3.65-3.74
4 Nd 0.8734 0.7469 0.6832  5 Nd 3.45-3.76, 4 Ho 3.56-3.66, 3 Sc 3.65-3.74
5 Nd 0.8734 0.7469 0.8168  5 Nd 3.45-3.76, 4 Ho 3.56-3.66, 3 Sc 3.65-3.74
6 Nd 0.1266 0.2531 0.1832  5 Nd 3.45-3.76, 4 Ho 3.56-3.66, 3 Sc 3.65-3.74
7 Nd 0.8010 0.6020 0.3960  6 Ho 3.32-3.71
8 Nd 0.1990 0.3980 0.6040  6 Ho 3.32-3.71
9 Nd 0.1990 0.3980 0.8960  6 Ho 3.32-3.71
10 Nd 0.8010 0.6020 0.1040  6 Ho 3.32-3.71
11 Nd 0.4564 0.9129 0.2500  3 Sc 3.25-3.30, 2 Ho 3.26, 2 Nd 3.62
12 Nd 0.5436 0.0871 0.7500  3 Sc 3.25-3.30, 2 Ho 3.26, 2 Nd 3.62
13 Ho 0.8488 0.6976 0.5446  7 Nd 3.45-3.71, 2 Ho 3.60-3.72
14 Ho 0.4590 0.9180 0.1236  6 Nd 3.22-3.56
15 Ho 0.1512 0.3024 0.4554  7 Nd 3.45-3.71, 2 Ho 3.60-3.72
16 Ho 0.5410 0.0820 0.8764  6 Nd 3.22-3.56
17 Ho 0.8488 0.6976 0.9554  7 Nd 3.45-3.71, 2 Ho 3.60-3.72
18 Ho 0.1512 0.3024 0.0446  7 Nd 3.45-3.71, 2 Ho 3.60-3.72
19 Ho 0.5410 0.0820 0.6236  6 Nd 3.22-3.56
20 Ho 0.4590 0.9180 0.3764  6 Nd 3.22-3.56
21 Sc 0.7936 0.5872 0.2500  3 Nd 3.25-3.30
22 Sc 0.2064 0.4128 0.7500  3 Nd 3.25-3.30

***

2.
Below is a relaxed structure of NdHo6Sc4, with properties calculated at the GGA-PBE level.

Summary:
The calculation puts the density of states at the Fermi level at 19.2 states/eV per cell. The formation energy comes out at 0.31 eV per atom. As for the excess energy over the best structure of this formula in the dataset: 196 meV per atom.

a = 5.2324 Å, b = 8.6832 Å, c = 8.6832 Å
α = 120.00°, β = 90.00°, γ = 90.00°
Last column: nearest neighbours and their distance in Å.
Sites, in units of the cell vectors:
1 Nd 0.0000 0.0000 0.0000  12 Ho 4.00-4.37, 6 Sc 4.14
2 Ho 0.0000 0.5338 0.0676  5 Sc 3.02-3.24
3 Ho 0.5000 0.5968 0.7984  4 Sc 3.12-3.28, 2 Ho 3.43
4 Ho 0.0000 0.5338 0.4662  5 Sc 3.02-3.24
5 Ho 0.0000 0.9324 0.4662  5 Sc 3.02-3.24
6 Ho 0.5000 0.2016 0.7984  4 Sc 3.12-3.28, 2 Ho 3.43
7 Ho 0.5000 0.2016 0.4032  4 Sc 3.12-3.28, 2 Ho 3.43
8 Sc 0.5000 0.7867 0.5735  6 Ho 3.12-3.24, 2 Sc 3.13
9 Sc 0.5000 0.4265 0.2133  6 Ho 3.12-3.24, 2 Sc 3.13
10 Sc 0.5000 0.7867 0.2133  6 Ho 3.12-3.24, 2 Sc 3.13
11 Sc 0.0000 0.3333 0.6667  9 Ho 3.02-3.28

***

3.
Below is a relaxed structure of Nd2Ho5Sc5, with properties calculated at the GGA-PBE level.

Summary:
The calculation puts the density of states at the Fermi level at 19.0 states/eV per cell. The formation energy comes out at 0.05 eV per atom.

a = 4.8229 Å, b = 7.7129 Å, c = 10.3564 Å
α = 72.80°, β = 76.54°, γ = 71.78°
Last column: nearest neighbours and their distance in Å.
Sites, in units of the cell vectors:
1 Nd 0.9180 0.4118 0.7522  7 Sc 3.42-3.45, 5 Ho 3.42-3.49
2 Nd 0.0820 0.5882 0.2478  7 Sc 3.42-3.45, 5 Ho 3.42-3.49
3 Ho 0.8351 0.8315 0.4983  5 Sc 3.42-3.48, 2 Nd 3.42-3.49, 5 Ho 3.46-3.48
4 Ho 0.2459 0.7529 0.7552  6 Sc 3.39-3.51, 4 Ho 3.39-3.48, 2 Nd 3.48
5 Ho 0.7541 0.2471 0.2448  6 Sc 3.39-3.51, 4 Ho 3.39-3.48, 2 Nd 3.48
6 Ho 0.1649 0.1685 0.5017  5 Sc 3.42-3.48, 2 Nd 3.42-3.49, 5 Ho 3.46-3.48
7 Ho 0.0000 0.0000 0.0000  2 Ho 3.39, 2 Nd 3.42, 8 Sc 3.42-3.43
8 Sc 0.5000 0.5000 0.5000  6 Ho 3.42-3.51, 4 Nd 3.45, 2 Sc 3.48
9 Sc 0.3326 0.3332 0.0016  5 Ho 3.39-3.45, 4 Sc 3.43-3.46, 3 Nd 3.43-3.45
10 Sc 0.4165 0.9189 0.2482  7 Ho 3.40-3.48, 2 Nd 3.42, 3 Sc 3.43-3.48
11 Sc 0.5835 0.0811 0.7518  7 Ho 3.40-3.48, 2 Nd 3.42, 3 Sc 3.43-3.48
12 Sc 0.6674 0.6668 0.9984  5 Ho 3.39-3.45, 4 Sc 3.43-3.46, 3 Nd 3.43-3.45

***

4.
Below is a relaxed structure of Nd2Ho5Sc12, with properties calculated at the GGA-PBE level.

Summary:
The calculation puts the density of states at the Fermi level at 29.9 states/eV per cell. The formation energy comes out at 0.14 eV per atom.

a = 8.6378 Å, b = 11.6780 Å, c = 8.1191 Å
α = 132.11°, β = 90.00°, γ = 111.71°
Last column: nearest neighbours and their distance in Å.
Sites, in units of the cell vectors:
1 Nd 0.6948 0.0000 0.0000  8 Sc 3.15-3.49, 1 Nd 3.36, 2 Ho 3.46
2 Nd 0.3052 0.0000 0.0000  8 Sc 3.15-3.49, 1 Nd 3.36, 2 Ho 3.46
3 Ho 0.2987 0.5975 0.5996  8 Sc 3.20-3.56, 2 Nd 3.46, 1 Ho 3.48
4 Ho 0.2369 0.4738 0.8934  10 Sc 3.21-3.47, 1 Ho 3.48
5 Ho 0.0000 0.0000 0.5000  10 Sc 3.35-3.50, 2 Ho 3.60
6 Ho 0.7631 0.5262 0.1066  10 Sc 3.21-3.47, 1 Ho 3.48
7 Ho 0.7013 0.4025 0.4004  8 Sc 3.20-3.56, 2 Nd 3.46, 1 Ho 3.48
8 Sc 0.0933 0.1865 0.3054  2 Nd 3.15, 3 Ho 3.20-3.35, 5 Sc 3.32-3.48
9 Sc 0.0234 0.6894 0.9410  3 Sc 3.09-3.34, 1 Nd 3.23, 2 Ho 3.28-3.41
10 Sc 0.6660 0.6894 0.9410  3 Sc 3.09-3.34, 1 Nd 3.23, 2 Ho 3.28-3.41
11 Sc 0.1833 0.7463 0.3953  6 Sc 3.16-3.46, 4 Ho 3.21-3.48, 1 Nd 3.49
12 Sc 0.5630 0.7463 0.3953  6 Sc 3.16-3.46, 4 Ho 3.21-3.48, 1 Nd 3.49
13 Sc 0.5519 0.1037 0.7717  7 Sc 3.16-3.26, 1 Ho 3.23, 2 Nd 3.25
14 Sc 0.4481 0.8963 0.2283  7 Sc 3.16-3.26, 1 Ho 3.23, 2 Nd 3.25
15 Sc 0.8167 0.2537 0.6047  6 Sc 3.16-3.46, 4 Ho 3.21-3.48, 1 Nd 3.49
16 Sc 0.4370 0.2537 0.6047  6 Sc 3.16-3.46, 4 Ho 3.21-3.48, 1 Nd 3.49
17 Sc 0.9766 0.3106 0.0590  3 Sc 3.09-3.34, 1 Nd 3.23, 2 Ho 3.28-3.41
18 Sc 0.3340 0.3106 0.0590  3 Sc 3.09-3.34, 1 Nd 3.23, 2 Ho 3.28-3.41
19 Sc 0.9067 0.8135 0.6946  2 Nd 3.15, 3 Ho 3.20-3.35, 5 Sc 3.32-3.48

***

5.
Below is a relaxed structure of NdHo12Sc7, with properties calculated at the GGA-PBE level.

Summary:
The calculation puts the density of states at the Fermi level at 32.4 states/eV per cell. The formation energy comes out at 0.67 eV per atom. As for the excess energy over the best structure of this formula in the dataset: 411 meV per atom.

a = 9.4737 Å, b = 9.4737 Å, c = 9.4737 Å
α = 109.47°, β = 109.47°, γ = 109.47°
Last column: nearest neighbours and their distance in Å.
Sites, in units of the cell vectors:
1 Nd 0.0000 0.0000 0.0000  12 Ho 4.09
2 Ho 0.4709 0.7356 0.7353  2 Sc 2.74
3 Ho 0.0002 0.7356 0.2647  2 Sc 2.74
4 Ho 0.5291 0.2644 0.2647  2 Sc 2.74
5 Ho 0.9998 0.2644 0.7353  2 Sc 2.74
6 Ho 0.7353 0.9998 0.2644  2 Sc 2.74
7 Ho 0.7353 0.4709 0.7356  2 Sc 2.74
8 Ho 0.2647 0.0002 0.7356  2 Sc 2.74
9 Ho 0.2647 0.5291 0.2644  2 Sc 2.74
10 Ho 0.7356 0.7353 0.4709  2 Sc 2.74
11 Ho 0.2644 0.2647 0.5291  2 Sc 2.74
12 Ho 0.7356 0.2647 0.0002  2 Sc 2.74
13 Ho 0.2644 0.7353 0.9998  2 Sc 2.74
14 Sc 0.5000 0.5000 0.0000  12 Ho 3.64-3.88
15 Sc 0.0000 0.5000 0.5000  12 Ho 3.64-3.88
16 Sc 0.5000 0.0000 0.5000  12 Ho 3.64-3.88
17 Sc 0.5000 0.5000 0.5000  6 Ho 2.74
18 Sc 0.0000 0.0000 0.5000  6 Ho 2.74
19 Sc 0.5000 0.0000 0.0000  6 Ho 2.74
20 Sc 0.0000 0.5000 0.0000  6 Ho 2.74

***

6.
Below is a relaxed structure of NdHo4Sc3, with properties calculated at the GGA-PBE level.

Summary:
The calculation puts the density of states at the Fermi level at 14.7 states/eV per cell. The formation energy comes out at 0.13 eV per atom. As for the excess energy over the best structure of this formula in the dataset: 105 meV per atom.

a = 3.3695 Å, b = 8.5797 Å, c = 9.8041 Å
α = 90.19°, β = 58.97°, γ = 101.41°
Last column: nearest neighbours and their distance in Å.
Sites, in units of the cell vectors:
1 Sc 0.7369 0.2634 0.2634  6 Ho 3.32-3.42, 4 Sc 3.37-3.42, 1 Nd 3.71
2 Sc 0.2631 0.7366 0.7366  6 Ho 3.32-3.42, 4 Sc 3.37-3.42, 1 Nd 3.71
3 Sc 0.0000 0.5000 0.5000  4 Ho 3.17-3.18, 6 Sc 3.37-3.42
4 Nd 0.5000 0.0000 0.0000  2 Nd 3.37, 4 Sc 3.71, 8 Ho 3.76-3.77
5 Ho 0.6551 0.1246 0.6049  4 Sc 3.18-3.41, 5 Ho 3.35-3.40
6 Ho 0.3449 0.8754 0.3951  4 Sc 3.18-3.41, 5 Ho 3.35-3.40
7 Ho 0.3834 0.3951 0.8754  4 Sc 3.17-3.42, 5 Ho 3.34-3.40
8 Ho 0.6166 0.6049 0.1246  4 Sc 3.17-3.42, 5 Ho 3.34-3.40

***

7.
Below is a relaxed structure of Nd5Ho4Sc, with properties calculated at the GGA-PBE level.

Summary:
The calculation puts the density of states at the Fermi level at 13.7 states/eV per cell. The formation energy comes out at 0.02 eV per atom. As for the excess energy over the best structure of this formula in the dataset: 0 meV per atom.

a = 3.6119 Å, b = 3.6119 Å, c = 24.7913 Å
α = 90.00°, β = 90.00°, γ = 90.00°
Last column: nearest neighbours and their distance in Å.
Sites, in units of the cell vectors:
1 Nd 0.5000 0.5000 0.0928  4 Sc 3.44, 4 Ho 3.59, 4 Nd 3.61
2 Nd 0.5000 0.5000 0.2962  8 Ho 3.59, 4 Nd 3.61
3 Nd 0.5000 0.5000 0.5000  8 Ho 3.59, 4 Nd 3.61
4 Nd 0.5000 0.5000 0.7038  8 Ho 3.59, 4 Nd 3.61
5 Nd 0.5000 0.5000 0.9072  4 Sc 3.44, 4 Ho 3.59, 4 Nd 3.61
6 Ho 0.0000 0.0000 0.1943  8 Nd 3.59, 4 Ho 3.61
7 Ho 0.0000 0.0000 0.3981  8 Nd 3.59, 4 Ho 3.61
8 Ho 0.0000 0.0000 0.6019  8 Nd 3.59, 4 Ho 3.61
9 Ho 0.0000 0.0000 0.8057  8 Nd 3.59, 4 Ho 3.61
10 Sc 0.0000 0.0000 0.0000  8 Nd 3.44, 4 Sc 3.61

***

8.
Below is a relaxed structure of NdHo3Sc7, with properties calculated at the GGA-PBE level.

Summary:
The calculation puts the density of states at the Fermi level at 18.1 states/eV per cell. The formation energy comes out at 0.29 eV per atom.

a = 5.4491 Å, b = 7.9914 Å, c = 7.9914 Å
α = 82.23°, β = 109.98°, γ = 109.98°
Last column: nearest neighbours and their distance in Å.
Sites, in units of the cell vectors:
1 Nd 0.5000 0.5000 0.5000  2 Sc 2.72
2 Ho 0.0000 0.7911 0.2089  5 Sc 3.06-3.21
3 Ho 0.5000 0.0000 0.0000  4 Sc 3.08
4 Ho 0.0000 0.2089 0.7911  5 Sc 3.06-3.21
5 Sc 0.2074 0.2069 0.2069  2 Ho 3.12, 1 Nd 3.15, 6 Sc 3.36-3.38
6 Sc 0.2817 0.9718 0.5920  2 Ho 3.08-3.21, 5 Sc 3.08-3.38
7 Sc 0.7183 0.4080 0.0282  2 Ho 3.08-3.21, 5 Sc 3.08-3.38
8 Sc 0.2817 0.5920 0.9718  2 Ho 3.08-3.21, 5 Sc 3.08-3.38
9 Sc 0.0000 0.5000 0.5000  2 Nd 2.72
10 Sc 0.7183 0.0282 0.4080  2 Ho 3.08-3.21, 5 Sc 3.08-3.38
11 Sc 0.7926 0.7931 0.7931  2 Ho 3.12, 1 Nd 3.15, 6 Sc 3.36-3.38

***

9.
Below is a relaxed structure of NdHo8Sc2, with properties calculated at the GGA-PBE level.

Summary:
The calculation puts the density of states at the Fermi level at 16.9 states/eV per cell. The formation energy comes out at 0.13 eV per atom. As for the excess energy over the best structure of this formula in the dataset: 0 meV per atom.

a = 5.3521 Å, b = 8.1170 Å, c = 9.1803 Å
α = 116.24°, β = 106.95°, γ = 90.00°
Last column: nearest neighbours and their distance in Å.
Sites, in units of the cell vectors:
1 Nd 0.5000 0.0000 0.0000  8 Ho 3.27-3.62
2 Ho 0.6432 0.8483 0.2864  1 Nd 3.27, 3 Sc 3.27-3.42, 6 Ho 3.33-3.61
3 Ho 0.3568 0.5619 0.7136  1 Nd 3.27, 3 Sc 3.27-3.42, 6 Ho 3.33-3.61
4 Ho 0.1645 0.1645 0.3289  2 Sc 3.41, 8 Ho 3.43-3.61, 2 Nd 3.70
5 Ho 0.0000 0.2999 0.0000  7 Ho 3.25-3.53, 2 Sc 3.51, 2 Nd 3.62
6 Ho 0.8355 0.8355 0.6711  2 Sc 3.41, 8 Ho 3.43-3.61, 2 Nd 3.70
7 Ho 0.6432 0.4380 0.2864  1 Nd 3.27, 3 Sc 3.27-3.42, 6 Ho 3.33-3.61
8 Ho 0.3568 0.1517 0.7136  1 Nd 3.27, 3 Sc 3.27-3.42, 6 Ho 3.33-3.61
9 Ho 0.0000 0.7001 0.0000  7 Ho 3.25-3.53, 2 Sc 3.51, 2 Nd 3.62
10 Sc 0.1998 0.6997 0.3995  10 Ho 3.27-3.51
11 Sc 0.8002 0.3003 0.6005  10 Ho 3.27-3.51

***

10.
Below is a relaxed structure of NdHo4Sc2, with properties calculated at the GGA-PBE level.

Summary:
The calculation puts the density of states at the Fermi level at 24.4 states/eV per cell. The formation energy comes out at 0.14 eV per atom. As for the excess energy over the best structure of this formula in the dataset: 96 meV per atom.

a = 5.5651 Å, b = 6.6608 Å, c = 11.6055 Å
α = 90.00°, β = 104.47°, γ = 90.00°
Last column: nearest neighbours and their distance in Å.
Sites, in units of the cell vectors:
1 Nd 0.1334 0.7500 0.1350  2 Sc 3.15-3.17, 6 Ho 3.31-3.42
2 Nd 0.8666 0.2500 0.8650  2 Sc 3.15-3.17, 6 Ho 3.31-3.42
3 Ho 0.6430 0.4978 0.2955  6 Ho 3.30-3.65, 1 Nd 3.42, 3 Sc 3.46-3.68
4 Ho 0.9586 0.7500 0.8407  3 Sc 3.11-3.41, 3 Nd 3.31-3.39, 2 Ho 3.45
5 Ho 0.0414 0.2500 0.1593  3 Sc 3.11-3.41, 3 Nd 3.31-3.39, 2 Ho 3.45
6 Ho 0.6430 0.0022 0.2955  6 Ho 3.30-3.65, 1 Nd 3.42, 3 Sc 3.46-3.68
7 Ho 0.8059 0.2500 0.5725  4 Sc 3.18-3.34, 1 Nd 3.33, 4 Ho 3.50-3.53
8 Ho 0.3570 0.9978 0.7045  6 Ho 3.30-3.65, 1 Nd 3.42, 3 Sc 3.46-3.68
9 Ho 0.3570 0.5022 0.7045  6 Ho 3.30-3.65, 1 Nd 3.42, 3 Sc 3.46-3.68
10 Ho 0.1941 0.7500 0.4275  4 Sc 3.18-3.34, 1 Nd 3.33, 4 Ho 3.50-3.53
11 Sc 0.5615 0.7500 0.0016  2 Nd 3.15-3.17, 2 Ho 3.23-3.41, 2 Sc 3.40
12 Sc 0.4385 0.2500 0.9984  2 Nd 3.15-3.17, 2 Ho 3.23-3.41, 2 Sc 3.40
13 Sc 0.2346 0.2500 0.4354  7 Ho 3.11-3.46
14 Sc 0.7654 0.7500 0.5646  7 Ho 3.11-3.46

***

11.
Below is a relaxed structure of NdHo4Sc5, with properties calculated at the GGA-PBE level.

Summary:
The calculation puts the density of states at the Fermi level at 15.2 states/eV per cell. The formation energy comes out at 0.25 eV per atom.

a = 5.6884 Å, b = 7.6671 Å, c = 7.6671 Å
α = 82.09°, β = 68.23°, γ = 68.23°
Last column: nearest neighbours and their distance in Å.
Sites, in units of the cell vectors:
1 Nd 0.2081 0.0000 0.0000  2 Sc 2.70-2.99
2 Ho 0.4734 0.3241 0.6759  5 Sc 3.14-3.50
3 Ho 0.7976 0.6759 0.6759  5 Sc 3.14-3.50
4 Ho 0.1493 0.3241 0.3241  5 Sc 3.14-3.50
5 Ho 0.4735 0.6759 0.3241  5 Sc 3.14-3.50
6 Sc 0.7416 0.3796 0.0000  3 Sc 3.05-3.32, 1 Nd 3.13, 2 Ho 3.14
7 Sc 0.1212 0.0000 0.6204  3 Sc 3.05-3.32, 1 Nd 3.13, 2 Ho 3.14
8 Sc 0.7416 0.0000 0.3796  3 Sc 3.05-3.32, 1 Nd 3.13, 2 Ho 3.14
9 Sc 0.1212 0.6204 0.0000  3 Sc 3.05-3.32, 1 Nd 3.13, 2 Ho 3.14
10 Sc 0.6828 0.0000 0.0000  2 Nd 2.70-2.99

***

12.
Below is a relaxed structure of Nd5HoSc4, with properties calculated at the GGA-PBE level.

Summary:
The calculation puts the density of states at the Fermi level at 15.7 states/eV per cell. The formation energy comes out at 0.33 eV per atom. As for the excess energy over the best structure of this formula in the dataset: 282 meV per atom.

a = 6.2145 Å, b = 7.7104 Å, c = 7.7104 Å
α = 80.65°, β = 66.23°, γ = 66.23°
Last column: nearest neighbours and their distance in Å.
Sites, in units of the cell vectors:
1 Nd 0.8024 0.3998 0.8994  4 Sc 3.07-3.43, 1 Ho 3.35, 1 Nd 3.36
2 Nd 0.2022 0.8994 0.6002  4 Sc 3.07-3.43, 1 Ho 3.35, 1 Nd 3.36
3 Nd 0.7019 0.1006 0.3998  4 Sc 3.07-3.43, 1 Ho 3.35, 1 Nd 3.36
4 Nd 0.1016 0.6002 0.1006  4 Sc 3.07-3.43, 1 Ho 3.35, 1 Nd 3.36
5 Nd 0.6830 0.0000 0.0000  1 Ho 2.87
6 Ho 0.2209 0.0000 0.0000  1 Nd 2.87
7 Sc 0.3918 0.4179 0.6977  1 Sc 3.02, 2 Nd 3.07-3.12
8 Sc 0.8096 0.6977 0.5821  1 Sc 3.02, 2 Nd 3.07-3.12
9 Sc 0.0895 0.3023 0.4179  1 Sc 3.02, 2 Nd 3.07-3.12
10 Sc 0.5073 0.5821 0.3023  1 Sc 3.02, 2 Nd 3.07-3.12